(1)
Entry from Alexandria: crystalline KTl2Hg at its relaxed geometry (GGA-PBE).

The structure in extended XYZ format:
```
4
Lattice="0.000 3.967 3.967 3.967 0.000 3.967 3.967 3.967 0.000" Properties=species:S:1:pos:R:3 pbc="T T T"
K 0.000 0.000 0.000
Tl 1.983 1.983 1.983
Tl 5.950 5.950 5.950
Hg 3.967 3.967 3.967
```

## Properties
Space-group type   Fm-3m, No. 225
Energy relative to the lowest polymorph listed for this composition   0.067 eV/atom
Energy   -1.59 eV/atom
ΔE_f   -0.05 eV/atom

---

(2)
Entry from Alexandria: crystalline KTl3Hg12 at its relaxed geometry (GGA-PBE).

The structure in extended XYZ format:
```
16
Lattice="4.988 0.000 0.000 0.000 4.988 0.000 0.000 0.000 18.586" Properties=species:S:1:pos:R:3 pbc="T T T"
K 0.000 0.000 0.000
Tl 0.000 0.000 4.825
Tl 0.000 0.000 9.293
Tl 0.000 0.000 13.761
Hg 0.000 2.494 2.491
Hg 0.000 2.494 7.037
Hg 0.000 2.494 11.549
Hg 0.000 2.494 16.095
Hg 2.494 0.000 2.491
Hg 2.494 0.000 7.037
Hg 2.494 0.000 11.549
Hg 2.494 0.000 16.095
Hg 2.494 2.494 0.000
Hg 2.494 2.494 4.775
Hg 2.494 2.494 9.293
Hg 2.494 2.494 13.811
```

## Properties
Space-group type   P4/mmm, No. 123
Energy   -0.81 eV/atom
ΔE_f   -0.08 eV/atom

---

(3)
Entry from Alexandria: crystalline KTl8Hg6 at its relaxed geometry (GGA-PBE).

The structure in extended XYZ format:
```
15
Lattice="9.228 0.000 0.000 -4.614 7.992 0.000 0.000 0.000 6.455" Properties=species:S:1:pos:R:3 pbc="T T T"
K 0.000 0.000 0.000
Tl -2.799 5.481 3.842
Tl 1.267 2.828 3.842
Tl 0.000 5.328 1.577
Tl 3.082 0.317 2.613
Tl 1.532 7.675 3.842
Tl 4.614 2.664 4.878
Tl 3.348 5.164 2.613
Tl 7.413 2.511 2.613
Hg -1.191 3.151 5.806
Hg -1.290 7.448 5.806
Hg 2.133 2.607 0.649
Hg 2.481 5.385 5.806
Hg 5.904 0.544 0.649
Hg 5.805 4.841 0.649
```

## Properties
Space-group type   P-3, No. 147
Energy relative to the lowest polymorph listed for this composition   0.002 eV/atom
Energy   -1.47 eV/atom
ΔE_f   -0.02 eV/atom

---

(4)
Entry from Alexandria: crystalline K4Tl5Hg at its relaxed geometry (GGA-PBE).

The structure in extended XYZ format:
```
10
Lattice="-5.217 5.217 3.729 5.217 -5.217 3.729 5.217 5.217 -3.729" Properties=species:S:1:pos:R:3 pbc="T T T"
K 3.172 0.644 0.000
K 4.572 -2.044 3.729
K 0.644 7.261 0.000
K 2.044 4.572 3.729
Tl 0.000 0.000 1.545
Tl 6.039 3.066 0.038
Tl 3.066 4.394 0.038
Tl 2.150 0.823 3.767
Tl -0.823 2.150 3.767
Hg 0.000 0.000 5.990
```

## Properties
Space-group type   I4, No. 79
Energy   -1.73 eV/atom
ΔE_f   -0.08 eV/atom

---

(5)
Entry from Alexandria: crystalline KTl3Hg at its relaxed geometry (GGA-PBE).

The structure in extended XYZ format:
```
20
Lattice="10.649 0.000 0.000 0.000 4.494 0.000 0.000 0.000 13.990" Properties=species:S:1:pos:R:3 pbc="T T T"
K 1.832 1.124 0.013
K 3.492 3.371 7.009
K 7.157 1.124 6.982
K 8.816 3.371 13.977
Tl 0.906 1.124 5.562
Tl 1.136 3.371 3.021
Tl 1.472 3.371 10.991
Tl 3.853 1.124 3.996
Tl 4.188 1.124 10.017
Tl 4.418 3.371 12.557
Tl 6.230 1.124 1.433
Tl 6.460 3.371 3.974
Tl 6.796 3.371 9.995
Tl 9.177 1.124 3.000
Tl 9.512 1.124 10.969
Tl 9.742 3.371 8.428
Hg 1.355 1.124 8.629
Hg 3.969 3.371 1.634
Hg 6.679 1.124 12.357
Hg 9.294 3.371 5.362
```

## Properties
Space-group type   Pnma, No. 62
Energy relative to the lowest polymorph listed for this composition   0.014 eV/atom
Energy   -1.78 eV/atom
ΔE_f   -0.08 eV/atom

---

(6)
Entry from Alexandria: crystalline K2TlHg4 at its relaxed geometry (GGA-PBE).

The structure in extended XYZ format:
```
14
Lattice="7.691 0.000 0.000 -1.808 7.622 0.000 -2.354 -3.116 8.096" Properties=species:S:1:pos:R:3 pbc="T T T"
K 0.000 0.000 0.000
K -1.723 5.040 4.010
K 1.261 3.875 1.715
K 3.627 -0.513 5.750
Tl -0.625 1.205 3.819
Tl 1.418 -2.868 7.875
Hg -2.027 2.271 6.577
Hg -0.247 -0.401 6.630
Hg 2.184 0.140 2.641
Hg 1.227 3.463 5.344
Hg 1.694 1.655 7.843
Hg 3.729 2.480 3.900
Hg 3.332 6.619 2.435
Hg 5.501 2.578 1.294
```

## Properties
Space-group type   P1, No. 1
Energy relative to the lowest polymorph listed for this composition   0.000 eV/atom
Energy   -1.01 eV/atom
ΔE_f   -0.19 eV/atom

---

(7)
Entry from Alexandria: crystalline KTlHg2 at its relaxed geometry (GGA-PBE).

The structure in extended XYZ format:
```
4
Lattice="3.599 0.000 0.000 0.000 5.164 0.000 -1.645 0.000 6.696" Properties=species:S:1:pos:R:3 pbc="T T T"
K 0.000 0.000 0.000
Tl 1.859 2.582 2.148
Hg 0.283 0.000 3.465
Hg 0.125 2.582 5.209
```

## Properties
Space-group type   Pm, No. 6
Energy relative to the lowest polymorph listed for this composition   0.032 eV/atom
Energy   -1.15 eV/atom
ΔE_f   -0.13 eV/atom

---

(8)
Entry from Alexandria: crystalline KTl6Hg6 at its relaxed geometry (GGA-PBE).

The structure in extended XYZ format:
```
13
Lattice="-3.015 5.657 5.759 3.015 -5.657 5.759 3.015 5.657 -5.759" Properties=species:S:1:pos:R:3 pbc="T T T"
K 0.000 0.000 0.000
Tl 3.015 2.379 0.000
Tl 0.000 0.000 4.088
Tl 0.000 4.039 0.000
Tl 0.000 7.275 0.000
Tl 0.000 0.000 7.431
Tl 0.000 3.278 5.759
Hg 1.507 2.829 -2.880
Hg 1.507 -2.829 2.880
Hg 3.015 0.000 2.389
Hg -1.507 2.829 2.880
Hg 1.507 2.829 2.880
Hg 0.000 5.657 3.370
```

## Properties
Space-group type   Immm, No. 71
Energy relative to the lowest polymorph listed for this composition   0.000 eV/atom
Energy   -1.36 eV/atom
ΔE_f   -0.04 eV/atom

---

(9)
Entry from Alexandria: crystalline KTl2Hg6 at its relaxed geometry (GGA-PBE).

The structure in extended XYZ format:
```
9
Lattice="9.375 0.000 0.000 -4.687 8.119 0.000 0.000 0.000 3.395" Properties=species:S:1:pos:R:3 pbc="T T T"
K 0.000 0.000 0.000
Tl 0.000 5.413 0.000
Tl 4.687 2.706 0.000
Hg -1.576 2.730 1.698
Hg -3.111 5.388 1.698
Hg 3.153 0.000 1.698
Hg 1.576 2.730 1.698
Hg 6.222 0.000 1.698
Hg 3.111 5.388 1.698
```

## Properties
Space-group type   P6/mmm, No. 191
Energy relative to the lowest polymorph listed for this composition   0.000 eV/atom
Energy   -0.93 eV/atom
ΔE_f   -0.08 eV/atom

---

(10)
Entry from Alexandria: crystalline K3TlHg8 at its relaxed geometry (GGA-PBE).

The structure in extended XYZ format:
```
12
Lattice="3.150 1.819 10.644 -3.150 1.819 10.644 0.000 -3.637 10.644" Properties=species:S:1:pos:R:3 pbc="T T T"
K 0.000 0.000 0.000
K 0.000 0.000 4.122
K 0.000 0.000 19.767
Tl 0.000 0.000 15.901
Hg 0.000 -1.828 7.307
Hg -1.578 -0.911 12.614
Hg -1.583 0.914 7.307
Hg 0.000 0.000 9.959
Hg 1.578 -0.911 12.614
Hg 0.000 1.822 12.614
Hg 1.583 0.914 7.307
Hg 0.000 0.000 25.932
```

## Properties
Space-group type   R3m, No. 160
Energy   -0.85 eV/atom
ΔE_f   -0.18 eV/atom

---

(11)
Entry from Alexandria: crystalline KTl6Hg12 at its relaxed geometry (GGA-PBE).

The structure in extended XYZ format:
```
19
Lattice="7.478 4.317 2.832 -7.478 4.317 2.832 0.000 -8.635 2.832" Properties=species:S:1:pos:R:3 pbc="T T T"
K 0.000 0.000 0.000
Tl -3.816 -0.405 2.750
Tl 2.259 -3.102 2.750
Tl -1.557 -3.508 5.746
Tl 1.557 3.508 2.750
Tl -2.259 3.102 5.746
Tl 3.816 0.405 5.746
Hg -0.447 -5.149 2.869
Hg -4.236 2.962 2.869
Hg -0.825 -1.836 2.869
Hg -4.683 -2.187 5.627
Hg -1.177 1.633 2.869
Hg 2.003 0.203 2.869
Hg -2.003 -0.203 5.627
Hg 1.177 -1.633 5.627
Hg 4.683 2.187 2.869
Hg 0.825 1.836 5.627
Hg 4.236 -2.962 5.627
Hg 0.447 5.149 5.627
```

## Properties
Space-group type   R-3, No. 148
Energy relative to the lowest polymorph listed for this composition   0.000 eV/atom
Energy   -1.05 eV/atom
ΔE_f   -0.06 eV/atom

---

(12)
Entry from Alexandria: crystalline KTlHg at its relaxed geometry (GGA-PBE).

The structure in extended XYZ format:
```
3
Lattice="0.000 3.859 3.859 3.859 0.000 3.859 3.859 3.859 0.000" Properties=species:S:1:pos:R:3 pbc="T T T"
K 0.000 0.000 0.000
Tl 3.859 3.859 3.859
Hg 5.788 5.788 5.788
```

## Properties
Space-group type   F-43m, No. 216
Energy relative to the lowest polymorph listed for this composition   0.128 eV/atom
Energy   -1.33 eV/atom
ΔE_f   -0.07 eV/atom